This record from Alexandria via LeMat-Bulk describes a relaxed structure of Li2Ge2Pt3. The functional is GGA-PBE.

Properties
For the total magnetic moment, the calculation gives 0.00 μB/f.u. The space group is No. 2. As for the energy above the most stable polymorph in this dataset: 0 meV/atom. The formation energy comes out at -0.58 eV per atom.

a b c (Å): 4.2883 4.2948 7.2060
angles (deg): 90.67 106.87 119.48
Element x y z (fractional)
Li  0.2300  0.3653  0.0952
Li  0.7700  0.6347  0.9048
Ge  0.3187  0.9070  0.7264
Ge  0.6813  0.0930  0.2736
Pt  0.0342  0.7681  0.3046
Pt  0.5000  0.5000  0.5000
Pt  0.9658  0.2319  0.6954